{
  "formula": "Sm3Dy2S8",
  "functional": "PBE-GGA",
  "state": "optimized geometry",
  "lattice_angstrom": [[6.803, 0.000, 0.148], [0.000, 8.050, 0.000], [-2.576, -4.025, 6.423]],
  "species": ["S", "S", "S", "S", "S", "Dy", "S", "Sm", "Sm", "S", "Sm", "S", "Dy"],
  "frac_coords": [[0.065, 0.880, 0.761], [0.583, 0.106, 0.745], [0.935, 0.120, 0.239], [0.417, 0.894, 0.255], [0.103, 0.382, 0.763], [0.345, 0.263, 0.525], [0.417, 0.361, 0.255], [0.000, 0.736, 0.000], [0.500, 0.000, 0.000], [0.583, 0.639, 0.745], [0.000, 0.264, 0.000], [0.897, 0.618, 0.237], [0.655, 0.737, 0.475]],
  "e_form_raw_ev_per_atom": -1.838
}

=====

{
  "formula": "KRb2TlAs",
  "functional": "PBE-GGA",
  "state": "optimized geometry",
  "lattice_angstrom": [[6.787, 0.000, 0.000], [0.000, 6.560, 0.000], [0.000, 0.000, 6.787]],
  "species": ["Tl", "K", "As", "Rb", "Rb"],
  "frac_coords": [[0.000, 0.000, 0.000], [0.000, 0.500, 0.000], [0.500, 0.500, 0.500], [0.500, 0.000, 0.000], [0.000, 0.000, 0.500]],
  "polymorph_energy_mev_per_atom": 486.4
}

=====

{
  "formula": "ScSiAu2",
  "functional": "PBE-GGA",
  "state": "optimized geometry",
  "lattice_angstrom": [[-0.582, 4.035, 1.555], [-3.102, -0.334, -0.292], [-0.260, -1.982, 5.045]],
  "species": ["Si", "Au", "Sc", "Au"],
  "frac_coords": [[0.500, 0.750, 0.750], [0.000, 0.750, 0.496], [0.500, 0.250, 0.250], [0.000, 0.750, 0.004]],
  "e_form_raw_ev_per_atom": -0.430
}